Entry from Alexandria via LeMat-Bulk: a crystal of TcSbP2 relaxed with PBEsol (SCAN).

a = 4.347 Å, b = 4.370 Å, c = 4.427 Å
α = 90.00°, β = 119.40°, γ = 90.00°
Atoms (fractional coordinates):
P (0.936, 0.000, 0.873)
P (0.164, 0.500, 0.327)
Tc (0.801, 0.500, 0.601)
Sb (0.595, 0.000, 0.189)

Output
- E_form (uncorrected) (meV/atom) = 170
- Fermi-level density of states (states/eV per atom) = 0.26
- total magnetization (μB/cell) = 0.00
- crystal system = orthorhombic